First-principles (GGA-PBE) data for a relaxed Tb3Nd8Ho4 crystal, as listed in Alexandria via LeMat-Bulk.

Cell lengths 12.620, 12.620, 12.620 Å; angles 32.34, 32.34, 32.34 degrees
Fractional positions:
Tb1 0.000 0.500 0.500
Tb2 0.500 0.000 0.500
Tb3 0.500 0.500 0.000
Nd1 0.251 0.251 0.749
Nd2 0.251 0.749 0.251
Nd3 0.251 0.749 0.749
Nd4 0.254 0.254 0.254
Nd5 0.746 0.746 0.746
Nd6 0.749 0.251 0.251
Nd7 0.749 0.251 0.749
Nd8 0.749 0.749 0.251
Ho1 0.000 0.000 0.000
Ho2 0.164 0.164 0.164
Ho3 0.500 0.500 0.500
Ho4 0.836 0.836 0.836

## Properties
ΔE_f: 158 meV per atom
offset from the most stable computed form: 0.0 meV per atom
density of states at the Fermi level: 1.6462 states/eV per atom